DFT (PBE) results for a relaxed LaEr3Mg2 crystal.

Values from the calculation:
Calculated volume = 29.2 A^3/atom
DOS at the Fermi energy = 9.4 states/eV/cell
ΔH_f (0 K) = -0.029 eV/atom

Unit cell a=3.6775 b=3.6775 c=12.9583 alpha=90.00 beta=90.00 gamma=90.00
Last column: nearest neighbours and their distance in Å.
Space group P4/mmm (No. 123)
One atom of each set of equivalent atoms:
La (0.0000, 0.0000, 0.0000)  8 Er 3.64, 4 La 3.68
Er (0.5000, 0.5000, 0.1963)  4 Mg 3.27, 4 La 3.64
Er (0.5000, 0.5000, 0.5000)  8 Mg 3.25
Mg (0.0000, 0.0000, 0.3495)  8 Er 3.25-3.27


DFT (PBE) results for a relaxed RbCaGaO3 crystal.

Values from the calculation:
Calculated volume = 18.8 A^3/atom
DOS at the Fermi energy = 0.0 states/eV/cell
Formation energy without anion corrections = -2.096 eV/atom

Unit cell a=3.4303 b=12.9029 c=10.2064 alpha=90.00 beta=90.00 gamma=90.00
Last column: nearest neighbours and their distance in Å.
Space group Cmcm (No. 63)
One atom of each set of equivalent atoms:
Rb (0.0000, 0.2489, 0.2500)  6 O 3.05-3.06, 2 Ga 3.37
Ca (0.0000, 0.0000, 0.0000)  4 O 2.33
Ga (0.0000, 0.4763, 0.7500)  4 O 1.83-2.00
O (0.0000, 0.0558, 0.7500)  2 Ga 2.00
O (0.0000, 0.4045, 0.5956)  1 Ga 1.83


DFT (PBE) results for a relaxed Cd2CoSb crystal.

Values from the calculation:
Calculated volume = 19.7 A^3/atom
DOS at the Fermi energy = 3.8 states/eV/cell
Formation energy without anion corrections = 0.343 eV/atom

Unit cell a=4.1124 b=4.1124 c=4.6585 alpha=90.00 beta=90.00 gamma=90.00
Last column: nearest neighbours and their distance in Å.
Space group P4/mmm (No. 123)
One atom of each set of equivalent atoms:
Cd (0.0000, 0.5000, 0.0000)  4 Cd 2.91, 4 Co 3.11, 4 Sb 3.11
Co (0.0000, 0.0000, 0.5000)  4 Sb 2.91, 8 Cd 3.11
Sb (0.5000, 0.5000, 0.5000)  4 Co 2.91, 8 Cd 3.11


DFT (PBE) results for a relaxed CaTlIr2 crystal.

Values from the calculation:
Calculated volume = 18.8 A^3/atom
DOS at the Fermi energy = 6.5 states/eV/cell
ΔH_f (0 K) = 0.182 eV/atom

Unit cell a=4.3116 b=4.3116 c=8.0909 alpha=90.00 beta=90.00 gamma=90.00
Last column: nearest neighbours and their distance in Å.
Space group I4/mmm (No. 139)
One atom of each set of equivalent atoms:
Ca (0.0000, 0.0000, 0.0000)  8 Ir 2.96, 4 Tl 3.05
Tl (0.0000, 0.0000, 0.5000)  8 Ir 2.96, 4 Ca 3.05
Ir (0.0000, 0.5000, 0.2500)  4 Tl 2.96, 4 Ca 2.96, 4 Ir 3.05


DFT (PBE) results for a relaxed RuPt2 crystal.

Values from the calculation:
Calculated volume = 17.6 A^3/atom
DOS at the Fermi energy = 4.9 states/eV/cell
ΔH_f (0 K) = 0.697 eV/atom

Unit cell a=3.7438 b=3.7438 c=4.3536 alpha=90.00 beta=90.00 gamma=120.00
Last column: nearest neighbours and their distance in Å.
Space group P-3m1 (No. 164)
One atom of each set of equivalent atoms:
Ru (0.0000, 0.0000, 0.0000)  6 Pt 2.54
Pt (0.3333, 0.6667, 0.3080)  3 Ru 2.54, 3 Pt 2.73


DFT (PBE) results for a relaxed UInClO4 crystal.

Values from the calculation:
Calculated volume = 19.6 A^3/atom
DOS at the Fermi energy = 0.0 states/eV/cell
Formation energy without anion corrections = -2.240 eV/atom

Unit cell a=10.1058 b=7.8909 c=7.1992 alpha=90.00 beta=107.00 gamma=90.00
Last column: nearest neighbours and their distance in Å.
Space group C2/m (No. 12)
One atom of each set of equivalent atoms:
U (0.1449, 0.0000, 0.2168)  4 O 1.94-2.17
In (0.2245, 0.5000, 0.1985)  4 O 2.11-2.17
Cl (0.0900, 0.5000, 0.8248)  1 In 2.64, 1 U 2.78
O (0.0930, 0.0000, 0.9016)  1 In 2.17, 2 U 2.17-2.30
O (0.1641, 0.2450, 0.2106)  1 U 1.94, 1 In 2.11
O (0.1770, 0.0000, 0.4997)  1 U 1.97, 1 In 2.11


DFT (PBE) results for a relaxed La4Ho4Er crystal.

Values from the calculation:
Calculated volume = 40.6 A^3/atom
DOS at the Fermi energy = 27.0 states/eV/cell
ΔH_f (0 K) = 0.717 eV/atom
E above lowest polymorph = 0.687 eV per atom

Unit cell a=6.1254 b=6.1254 c=19.4973 alpha=90.00 beta=90.00 gamma=90.00
Last column: nearest neighbours and their distance in Å.
Space group I-42m (No. 121)
One atom of each set of equivalent atoms:
La (0.0000, 0.0000, 0.1447)  1 Er 2.82, 2 Ho 3.00
La (0.0000, 0.5000, 0.0000)  2 Er 3.06
Ho (0.1804, 0.1804, 0.2965)  2 La 3.00-3.35, 1 Ho 3.13
Er (0.0000, 0.0000, 0.0000)  6 La 2.82-3.06


DFT (PBE) results for a relaxed PmIn4PbO8 crystal.

Values from the calculation:
Calculated volume = 16.1 A^3/atom
DOS at the Fermi energy = 7.3 states/eV/cell
Formation energy without anion corrections = -1.701 eV/atom

Unit cell a=6.6942 b=6.6942 c=17.3956 alpha=90.00 beta=90.00 gamma=120.00
Last column: nearest neighbours and their distance in Å.
Space group R3m (No. 160, hexagonal axes)
One atom of each set of equivalent atoms:
Pm (0.0000, 0.0000, 0.0000)  6 O 2.35-2.41
In (0.0000, 0.0000, 0.6218)  3 O 2.22
In (0.1670, 0.3340, 0.8322)  6 O 2.19-2.29
Pb (0.0000, 0.0000, 0.3720)  4 O 2.34-2.55
O (0.0000, 0.0000, 0.2256)  3 In 2.19
O (0.0000, 0.0000, 0.7670)  3 In 2.24
O (0.0372, 0.5186, 0.7593)  2 In 2.23, 1 Pb 2.34, 1 Pm 2.35
O (0.1778, 0.3557, 0.5747)  3 In 2.22-2.29, 1 Pm 2.41


Which of these has the lowest calculated volume?
PmIn4PbO8